1.
# TlGaNiPb2 PBE-GGA relaxed
data_TlGaNiPb2
_chemical_formula_sum 'Tl1 Ga1 Ni1 Pb2'
_symmetry_space_group_name_H-M 'P 4/m m m'
_symmetry_Int_Tables_number 123
_symmetry_space_group_name_Hall '-P 4 2'
_cell_length_a 5.806
_cell_length_b 5.806
_cell_length_c 4.807
_cell_angle_alpha 90.00
_cell_angle_beta 90.00
_cell_angle_gamma 90.00
loop_
_atom_site_label
_atom_site_type_symbol
_atom_site_fract_x
_atom_site_fract_y
_atom_site_fract_z
Tl1 Tl 0.000 0.000 0.000
Ga1 Ga 0.500 0.500 0.500
Ni1 Ni 0.500 0.500 0.000
Pb1 Pb 0.000 0.500 0.500
# - DFT formation energy: 0.45 eV/atom
# - Density of states at the Fermi level: 2.93 states/eV/f.u.
# - Magnetic moment: 0.0 μB per formula unit
# - VASP energy: -3.265 eV per atom

---

2.
# Ta4Al PBE-GGA relaxed
data_Ta4Al
_chemical_formula_sum 'Ta4 Al1'
_symmetry_space_group_name_H-M 'P m -3 m'
_symmetry_Int_Tables_number 221
_symmetry_space_group_name_Hall '-P 4 2 3'
_cell_length_a 4.671
_cell_length_b 4.671
_cell_length_c 4.671
_cell_angle_alpha 90.00
_cell_angle_beta 90.00
_cell_angle_gamma 90.00
loop_
_atom_site_label
_atom_site_type_symbol
_atom_site_fract_x
_atom_site_fract_y
_atom_site_fract_z
Ta1 Ta 0.000 0.000 0.000
Ta2 Ta 0.000 0.500 0.500
Al1 Al 0.500 0.500 0.500
# - DFT formation energy: 1.27 eV/atom
# - Density of states at the Fermi level: 2.52 states/eV/f.u.
# - Offset from the most stable computed form: 6.60 eV/f.u.
# - Magnetic moment: 0.0 μB per formula unit
# - VASP energy: -8.957 eV per atom

---

3.
# Tb6Dy5Ho PBE-GGA relaxed
data_Tb6Dy5Ho
_chemical_formula_sum 'Tb12 Dy10 Ho2'
_symmetry_space_group_name_H-M 'I m m m'
_symmetry_Int_Tables_number 71
_symmetry_space_group_name_Hall '-I 2 2'
_cell_length_a 5.003
_cell_length_b 10.022
_cell_length_c 15.037
_cell_angle_alpha 90.00
_cell_angle_beta 90.00
_cell_angle_gamma 90.00
loop_
_atom_site_label
_atom_site_type_symbol
_atom_site_fract_x
_atom_site_fract_y
_atom_site_fract_z
Tb1 Tb 0.000 0.250 0.000
Tb2 Tb 0.000 0.250 0.333
Dy1 Dy 0.000 0.000 0.166
Dy2 Dy 0.000 0.000 0.500
Dy3 Dy 0.000 0.500 0.167
Ho1 Ho 0.000 0.500 0.500
# - DFT formation energy: 0.02 eV/atom
# - Density of states at the Fermi level: 15.76 states/eV/f.u.
# - Magnetic moment: 0.0 μB per formula unit
# - VASP energy: -4.597 eV per atom

---

4.
# Pu2Ga2Cu PBE-GGA relaxed
data_Pu2Ga2Cu
_chemical_formula_sum 'Pu8 Ga8 Cu4'
_symmetry_space_group_name_H-M 'C 1 2/m 1'
_symmetry_Int_Tables_number 12
_cell_length_a 11.100
_cell_length_b 3.468
_cell_length_c 10.950
_cell_angle_alpha 90.00
_cell_angle_beta 117.05
_cell_angle_gamma 90.00
loop_
_symmetry_equiv_pos_as_xyz
'x,y,z'
'-x,-y,-z'
'-x,y,-z'
'x,-y,z'
'x+1/2,y+1/2,z'
'-x+1/2,-y+1/2,-z'
'-x+1/2,y+1/2,-z'
'x+1/2,-y+1/2,z'
loop_
_atom_site_label
_atom_site_type_symbol
_atom_site_fract_x
_atom_site_fract_y
_atom_site_fract_z
Pu1 Pu 0.081 0.000 0.348
Pu2 Pu 0.143 0.500 0.221
Ga1 Ga 0.107 0.000 0.969
Ga2 Ga 0.123 0.500 0.594
Cu1 Cu 0.160 0.500 0.836
# - DFT formation energy: -0.21 eV/atom
# - Density of states at the Fermi level: 8.10 states/eV/f.u.
# - Magnetic moment: 0.2 μB per formula unit
# - VASP energy: -7.977 eV per atom

---

Question: magnetic moment of number 3 (Tb6Dy5Ho)?
Answer: 0.0 μB per formula unit